a:
A geometry-optimized PmGeBi structure, computed with PBE.

Unit cell a=5.955 b=9.157 c=9.157 alpha=90.00 beta=90.00 gamma=90.00
Element x y z (fractional)
Ge 0.000 0.363 0.000
Pm 0.000 0.500 0.301
Pm 0.500 0.301 0.500
Bi 0.000 0.815 0.500
Ge 0.000 0.637 0.000
Pm 0.500 0.699 0.500
Ge 0.500 0.000 0.363
Bi 0.000 0.185 0.500
Ge 0.500 0.000 0.637
Bi 0.500 0.500 0.815
Bi 0.500 0.500 0.185
Pm 0.000 0.500 0.699

Computed properties:
- theoretical density (Mg/m³) = 5.675
- space-group type = P4_2/mmc (131)
- M_tot (μB/cell) = 0.00
- N(E_F) (states/eV/f.u.) = 2.472
- volume (Å³/cell) = 499.4

=====

b:
A geometry-optimized PmGeBi structure, computed with PBE.

Unit cell a=5.160 b=5.160 c=5.160 alpha=60.00 beta=60.00 gamma=60.00
Element x y z (fractional)
Ge 0.000 0.000 0.000
Bi 0.500 0.500 0.500
Pm 0.250 0.250 0.250

Computed properties:
- theoretical density (Mg/m³) = 7.291
- space-group type = F-43m (216)
- M_tot (μB/cell) = 0.00
- N(E_F) (states/eV/f.u.) = 3.159
- volume (Å³/cell) = 97.2

=====

It comes down to b, which is 12.8 kJ/mol of atoms more stable than the next structure.

=====

a:
A geometry-optimized PmGeBi structure, computed with PBE.

Unit cell a=3.999 b=4.951 c=4.951 alpha=120.00 beta=90.00 gamma=90.00
Element x y z (fractional)
Bi 0.849 0.000 0.000
Ge 0.812 0.333 0.667
Pm 0.340 0.667 0.333

Computed properties:
- theoretical density (Mg/m³) = 8.346
- space-group type = P3m1 (156)
- M_tot (μB/cell) = 0.00
- N(E_F) (states/eV/f.u.) = 2.092
- volume (Å³/cell) = 84.9

=====

b:
A geometry-optimized PmGeBi structure, computed with PBE.

Unit cell a=4.212 b=4.546 c=8.790 alpha=104.99 beta=90.00 gamma=90.00
Element x y z (fractional)
Ge 0.750 0.549 0.098
Ge 0.250 0.451 0.902
Bi 0.250 0.748 0.495
Pm 0.750 0.905 0.810
Pm 0.250 0.095 0.190
Bi 0.750 0.252 0.505

Computed properties:
- theoretical density (Mg/m³) = 8.715
- space-group type = Cmcm (63)
- M_tot (μB/cell) = 0.00
- N(E_F) (states/eV/f.u.) = 0.798
- volume (Å³/cell) = 162.6

=====

It comes down to b, which is 28.6 kJ/mol of atoms more stable than the next structure.

=====

a:
A geometry-optimized Pr2GeBi structure, computed with PBE.

Unit cell a=4.420 b=4.420 c=7.951 alpha=73.86 beta=73.86 gamma=60.00
Element x y z (fractional)
Ge 0.000 0.000 0.000
Bi 0.500 0.500 0.500
Pr 0.257 0.257 0.229
Pr 0.743 0.743 0.771

Computed properties:
- theoretical density (Mg/m³) = 7.344
- space-group type = R-3m (166)
- M_tot (μB/cell) = 0.00
- N(E_F) (states/eV/f.u.) = 2.791
- volume (Å³/cell) = 127.4

=====

b:
A geometry-optimized Pr2GeBi structure, computed with PBE.

Unit cell a=4.314 b=4.314 c=8.479 alpha=75.26 beta=75.26 gamma=60.00
Element x y z (fractional)
Bi 0.668 0.668 0.995
Ge 0.498 0.498 0.505
Pr 0.246 0.246 0.261
Pr 0.087 0.087 0.739

Computed properties:
- theoretical density (Mg/m³) = 7.161
- space-group type = R3m (160)
- M_tot (μB/cell) = 0.00
- N(E_F) (states/eV/f.u.) = 3.327
- volume (Å³/cell) = 130.7

=====

It comes down to a, which is 17.5 kJ/mol of atoms more stable than the next structure.

=====

a:
A geometry-optimized Pr2GeBi structure, computed with PBE.

Unit cell a=4.368 b=4.626 c=12.416 alpha=100.74 beta=90.00 gamma=90.00
Element x y z (fractional)
Bi 0.750 0.810 0.620
Bi 0.250 0.190 0.380
Pr 0.250 0.324 0.647
Ge 0.750 0.540 0.080
Pr 0.750 0.676 0.353
Pr 0.250 0.060 0.120
Pr 0.750 0.940 0.880
Ge 0.250 0.460 0.920

Computed properties:
- theoretical density (Mg/m³) = 7.592
- space-group type = Cmcm (63)
- M_tot (μB/cell) = 0.00
- N(E_F) (states/eV/f.u.) = 1.981
- volume (Å³/cell) = 246.5

=====

b:
A geometry-optimized Pr2GeBi structure, computed with PBE.

Unit cell a=6.370 b=12.711 c=9.007 alpha=135.10 beta=90.00 gamma=90.00
Element x y z (fractional)
Bi 0.750 0.875 0.750
Pr 0.750 0.625 0.250
Pr 0.250 0.875 0.750
Pr 0.750 0.625 0.750
Pr 0.250 0.375 0.750
Pr 0.750 0.125 0.750
Pr 0.250 0.375 0.250
Pr 0.250 0.875 0.250
Bi 0.250 0.125 0.250
Ge 0.250 0.125 0.750
Ge 0.750 0.875 0.250
Pr 0.750 0.125 0.250
Ge 0.250 0.625 0.750
Bi 0.750 0.375 0.750
Bi 0.250 0.625 0.250
Ge 0.750 0.375 0.250

Computed properties:
- theoretical density (Mg/m³) = 7.269
- space-group type = C2/m (12)
- M_tot (μB/cell) = 0.00
- N(E_F) (states/eV/f.u.) = 2.767
- volume (Å³/cell) = 514.8

=====

It comes down to a, which is 6.0 kJ/mol of atoms more stable than the next structure.

=====

a:
A geometry-optimized PrGe2Bi structure, computed with PBE.

Unit cell a=5.006 b=5.006 c=7.629 alpha=70.85 beta=70.85 gamma=60.00
Element x y z (fractional)
Pr 0.500 0.500 0.500
Ge 0.126 0.126 0.623
Ge 0.874 0.874 0.377
Bi 0.000 0.000 0.000

Computed properties:
- theoretical density (Mg/m³) = 5.367
- space-group type = R-3m (166)
- M_tot (μB/cell) = 0.00
- N(E_F) (states/eV/f.u.) = 2.032
- volume (Å³/cell) = 153.2

=====

b:
A geometry-optimized PrGe2Bi structure, computed with PBE.

Unit cell a=4.337 b=4.809 c=4.809 alpha=90.00 beta=90.00 gamma=90.00
Element x y z (fractional)
Bi 0.500 0.000 0.000
Ge 0.000 0.000 0.500
Pr 0.500 0.500 0.500
Ge 0.000 0.500 0.000

Computed properties:
- theoretical density (Mg/m³) = 8.199
- space-group type = P4/mmm (123)
- M_tot (μB/cell) = 0.00
- N(E_F) (states/eV/f.u.) = 1.831
- volume (Å³/cell) = 100.3

=====

It comes down to b, which is 60.2 kJ/mol of atoms more stable than the next structure.

=====

a:
A geometry-optimized Ge2BiPt2 structure, computed with PBE.

Unit cell a=7.763 b=7.763 c=3.199 alpha=90.00 beta=90.00 gamma=90.00
Element x y z (fractional)
Bi 0.500 0.500 0.000
Ge 0.853 0.353 0.500
Pt 0.635 0.135 0.000
Pt 0.865 0.635 0.000
Ge 0.353 0.147 0.500
Ge 0.147 0.647 0.500
Pt 0.135 0.365 0.000
Pt 0.365 0.865 0.000
Bi 0.000 0.000 0.000
Ge 0.647 0.853 0.500

Computed properties:
- theoretical density (Mg/m³) = 12.823
- space-group type = P4/mbm (127)
- M_tot (μB/cell) = 0.00
- N(E_F) (states/eV/f.u.) = 3.001
- volume (Å³/cell) = 192.8

=====

b:
A geometry-optimized Ge2BiPt2 structure, computed with PBE.

Unit cell a=4.576 b=4.576 c=5.740 alpha=66.51 beta=66.51 gamma=90.00
Element x y z (fractional)
Pt 0.750 0.250 0.500
Ge 0.631 0.631 0.737
Pt 0.250 0.750 0.500
Ge 0.369 0.369 0.263
Bi 0.000 0.000 0.000

Computed properties:
- theoretical density (Mg/m³) = 12.451
- space-group type = I4/mmm (139)
- M_tot (μB/cell) = 0.00
- N(E_F) (states/eV/f.u.) = 2.912
- volume (Å³/cell) = 99.3

=====

It comes down to b, which is 7.3 kJ/mol of atoms more stable than the next structure.

=====

a:
A geometry-optimized GeBiPt structure, computed with PBE.

Unit cell a=5.352 b=3.881 c=3.881 alpha=120.00 beta=90.00 gamma=90.00
Element x y z (fractional)
Bi 0.708 0.667 0.333
Ge 0.248 0.333 0.667
Pt 0.044 0.000 0.000

Computed properties:
- theoretical density (Mg/m³) = 11.338
- space-group type = P3m1 (156)
- M_tot (μB/cell) = 0.00
- N(E_F) (states/eV/f.u.) = 1.616
- volume (Å³/cell) = 69.8

=====

b:
A geometry-optimized GeBiPt structure, computed with PBE.

Unit cell a=4.612 b=4.612 c=4.612 alpha=60.00 beta=60.00 gamma=60.00
Element x y z (fractional)
Ge 0.500 0.500 0.500
Pt 0.250 0.250 0.250
Bi 0.000 0.000 0.000

Computed properties:
- theoretical density (Mg/m³) = 11.414
- space-group type = F-43m (216)
- M_tot (μB/cell) = 0.00
- N(E_F) (states/eV/f.u.) = 2.500
- volume (Å³/cell) = 69.4

=====

c:
A geometry-optimized GeBiPt structure, computed with PBE.

Unit cell a=6.460 b=6.460 c=6.460 alpha=90.00 beta=90.00 gamma=90.00
Element x y z (fractional)
Bi 0.367 0.367 0.367
Bi 0.633 0.867 0.133
Ge 0.877 0.377 0.123
Bi 0.133 0.633 0.867
Ge 0.623 0.623 0.623
Pt 0.531 0.469 0.969
Pt 0.469 0.969 0.531
Ge 0.377 0.123 0.877
Pt 0.031 0.031 0.031
Ge 0.123 0.877 0.377
Bi 0.867 0.133 0.633
Pt 0.969 0.531 0.469

Computed properties:
- theoretical density (Mg/m³) = 11.745
- space-group type = P2_13 (198)
- M_tot (μB/cell) = 0.00
- N(E_F) (states/eV/f.u.) = 1.687
- volume (Å³/cell) = 269.6

=====

It comes down to c, which is 5.0 kJ/mol of atoms more stable than the next structure.

=====

a:
A geometry-optimized PuGe2Bi structure, computed with PBE.

Unit cell a=5.203 b=5.203 c=5.137 alpha=59.57 beta=59.57 gamma=60.00
Site moments in Bohr magnetons follow the coordinates.
Element x y z (fractional)
Pu 0.500 0.500 0.500  -5.32
Ge 0.749 0.749 0.753  0.03
Bi 0.000 0.000 0.000  0.04
Ge 0.251 0.251 0.247  0.03

Computed properties:
- theoretical density (Mg/m³) = 10.170
- space-group type = R-3m (166)
- M_tot (μB/cell) = 5.35
- N(E_F) (states/eV/f.u.) = 12.547
- volume (Å³/cell) = 97.7

=====

b:
A geometry-optimized PuGe2Bi structure, computed with PBE.

Unit cell a=4.332 b=4.606 c=4.606 alpha=90.00 beta=90.00 gamma=90.00
Site moments in Bohr magnetons follow the coordinates.
Element x y z (fractional)
Ge 0.000 0.500 0.000  0.03
Ge 0.000 0.000 0.500  0.03
Bi 0.500 0.000 0.000  0.03
Pu 0.500 0.500 0.500  -5.16

Computed properties:
- theoretical density (Mg/m³) = 10.807
- space-group type = P4/mmm (123)
- M_tot (μB/cell) = 5.20
- N(E_F) (states/eV/f.u.) = 9.372
- volume (Å³/cell) = 91.9

=====

c:
A geometry-optimized PuGe2Bi structure, computed with PBE.

Unit cell a=3.913 b=3.913 c=6.241 alpha=90.00 beta=90.00 gamma=90.00
Site moments in Bohr magnetons follow the coordinates.
Element x y z (fractional)
Pu 0.500 0.500 0.500  5.16
Ge 0.000 0.000 0.722  -0.02
Bi 0.500 0.500 0.000  -0.02
Ge 0.000 0.000 0.278  -0.02

Computed properties:
- theoretical density (Mg/m³) = 10.398
- space-group type = P4/mmm (123)
- M_tot (μB/cell) = 5.36
- N(E_F) (states/eV/f.u.) = 9.106
- volume (Å³/cell) = 95.5

=====

It comes down to b, which is 16.8 kJ/mol of atoms more stable than the next structure.

=====

a:
A geometry-optimized PuGeBi structure, computed with PBE.

Unit cell a=4.186 b=4.605 c=8.297 alpha=106.11 beta=90.00 gamma=90.00
Site moments in Bohr magnetons follow the coordinates.
Element x y z (fractional)
Bi 0.250 0.744 0.488  -0.07
Pu 0.750 0.912 0.825  5.24
Ge 0.250 0.448 0.896  -0.07
Bi 0.750 0.256 0.512  -0.07
Ge 0.750 0.552 0.104  -0.07
Pu 0.250 0.088 0.175  5.24

Computed properties:
- theoretical density (Mg/m³) = 11.361
- space-group type = Cmcm (63)
- M_tot (μB/cell) = 10.60
- N(E_F) (states/eV/f.u.) = 8.558
- volume (Å³/cell) = 153.6

=====

b:
A geometry-optimized PuGeBi structure, computed with PBE.

Unit cell a=4.105 b=4.082 c=9.458 alpha=77.54 beta=90.00 gamma=90.00
Site moments in Bohr magnetons follow the coordinates.
Element x y z (fractional)
Ge 0.250 0.542 0.917  -0.02
Pu 0.250 0.906 0.188  5.33
Ge 0.750 0.458 0.083  -0.02
Bi 0.250 0.700 0.600  0.02
Bi 0.750 0.300 0.400  0.02
Pu 0.750 0.094 0.812  5.33

Computed properties:
- theoretical density (Mg/m³) = 11.279
- space-group type = Cmcm (63)
- M_tot (μB/cell) = 11.41
- N(E_F) (states/eV/f.u.) = 10.523
- volume (Å³/cell) = 154.8

=====

c:
A geometry-optimized PuGeBi structure, computed with PBE.

Unit cell a=4.886 b=4.886 c=3.917 alpha=90.00 beta=90.00 gamma=120.00
Site moments in Bohr magnetons follow the coordinates.
Element x y z (fractional)
Ge 0.667 0.333 0.365  -0.01
Pu 0.000 0.000 0.047  5.45
Bi 0.333 0.667 0.588  -0.03

Computed properties:
- theoretical density (Mg/m³) = 10.779
- space-group type = P3m1 (156)
- M_tot (μB/cell) = 5.70
- N(E_F) (states/eV/f.u.) = 10.371
- volume (Å³/cell) = 81.0

=====

It comes down to a, which is 2.9 kJ/mol of atoms more stable than the next structure.

=====

a:
A geometry-optimized Rb2GeBi structure, computed with PBE.

Unit cell a=6.077 b=6.077 c=6.077 alpha=60.00 beta=60.00 gamma=60.00
Site moments in Bohr magnetons follow the coordinates.
Element x y z (fractional)
Rb 0.750 0.750 0.750  0.01
Rb 0.250 0.250 0.250  0.01
Bi 0.500 0.500 0.500  -0.21
Ge 0.000 0.000 0.000  0.43

Computed properties:
- theoretical density (Mg/m³) = 4.735
- space-group type = Fm-3m (225)
- M_tot (μB/cell) = 0.90
- N(E_F) (states/eV/f.u.) = 3.068
- volume (Å³/cell) = 158.7

=====

b:
A geometry-optimized Rb2GeBi structure, computed with PBE.

Unit cell a=6.728 b=10.527 c=12.051 alpha=115.11 beta=90.00 gamma=90.00
Element x y z (fractional)
Ge 0.123 0.039 0.586
Ge 0.377 0.539 0.586
Rb 0.259 0.904 0.815
Ge 0.877 0.961 0.414
Bi 0.734 0.768 0.526
Bi 0.766 0.268 0.526
Bi 0.234 0.732 0.474
Rb 0.670 0.129 0.749
Rb 0.759 0.596 0.185
Rb 0.741 0.096 0.185
Rb 0.830 0.629 0.749
Ge 0.623 0.461 0.414
Rb 0.330 0.871 0.251
Rb 0.241 0.404 0.815
Rb 0.170 0.371 0.251
Bi 0.266 0.232 0.474

Computed properties:
- theoretical density (Mg/m³) = 3.889
- space-group type = P2_1/c (14)
- M_tot (μB/cell) = 0.00
- N(E_F) (states/eV/f.u.) = 1.999
- volume (Å³/cell) = 772.8

=====

It comes down to b, which is 27.9 kJ/mol of atoms more stable than the next structure.

=====

a:
A geometry-optimized Rb3GeBi structure, computed with PBE.

Unit cell a=4.037 b=11.336 c=11.176 alpha=112.35 beta=100.43 gamma=110.76
Element x y z (fractional)
Rb 0.642 0.930 0.746
Rb 0.649 0.610 0.392
Bi 0.440 0.912 0.374
Ge 0.867 0.637 0.779
Rb 0.395 0.544 0.030
Bi 0.604 0.242 0.048
Ge 0.178 0.517 0.642
Rb 0.402 0.224 0.676
Rb 0.777 0.905 0.064
Rb 0.266 0.249 0.358

Computed properties:
- theoretical density (Mg/m³) = 4.340
- space-group type = P-1 (2)
- M_tot (μB/cell) = 0.00
- N(E_F) (states/eV/f.u.) = 4.244
- volume (Å³/cell) = 411.7

=====

b:
A geometry-optimized Rb3GeBi structure, computed with PBE.

Unit cell a=6.727 b=6.727 c=6.727 alpha=90.00 beta=90.00 gamma=90.00
Site moments in Bohr magnetons follow the coordinates.
Element x y z (fractional)
Rb 0.000 0.000 0.500  0.04
Rb 0.500 0.000 0.000  0.04
Rb 0.000 0.500 0.000  0.04
Ge 0.000 0.000 0.000  0.81
Bi 0.500 0.500 0.500  0.87

Computed properties:
- theoretical density (Mg/m³) = 2.934
- space-group type = Pm-3m (221)
- M_tot (μB/cell) = 4.00
- N(E_F) (states/eV/f.u.) = 2.488
- volume (Å³/cell) = 304.5

=====

It comes down to a, which is 47.7 kJ/mol of atoms more stable than the next structure.

=====

a:
A geometry-optimized Re2GeBi structure, computed with PBE.

Unit cell a=4.594 b=4.594 c=4.594 alpha=60.00 beta=60.00 gamma=60.00
Element x y z (fractional)
Re 0.750 0.750 0.750
Ge 0.000 0.000 0.000
Bi 0.500 0.500 0.500
Re 0.250 0.250 0.250

Computed properties:
- theoretical density (Mg/m³) = 15.843
- space-group type = Fm-3m (225)
- M_tot (μB/cell) = 0.00
- N(E_F) (states/eV/f.u.) = 2.834
- volume (Å³/cell) = 68.6

=====

b:
A geometry-optimized Re2GeBi structure, computed with PBE.

Unit cell a=4.270 b=4.270 c=9.562 alpha=77.10 beta=77.10 gamma=90.00
Element x y z (fractional)
Ge 0.250 0.750 0.500
Re 0.375 0.471 0.750
Bi 0.750 0.250 0.500
Re 0.529 0.125 0.250
Re 0.221 0.625 0.250
Ge 0.500 0.500 0.000
Re 0.875 0.779 0.750
Bi 0.000 0.000 0.000

Computed properties:
- theoretical density (Mg/m³) = 13.130
- space-group type = I-42d (122)
- M_tot (μB/cell) = 0.00
- N(E_F) (states/eV/f.u.) = 1.417
- volume (Å³/cell) = 165.4

=====

It comes down to a, which is 3.2 kJ/mol of atoms more stable than the next structure.